# 1
Computed, not measured: crystalline ReIrAu2 at its relaxed geometry at the PBE level of DFT.

The calculation puts the energy relative to the lowest polymorph listed for this composition at 12.2 kJ/mol of atoms. For the mass density, the calculation gives 19.61 g cm⁻³. The value obtained for the energy relative to the elements is 1.0 eV per formula unit. The calculation puts the calculated total energy at -6.72 eV/atom.

It has space group Pmm2 (No. 25), with a = 2.826 Å, b = 3.914 Å, c = 5.912 Å, α = 90.00°, β = 90.00° and γ = 90.00°. The asymmetric unit holds Re at (0.000, 0.000, 0.000), Ir at (0.500, 0.500, 0.813), Au at (0.000, 0.000, 0.532) and Au at (0.500, 0.500, 0.276).

=====

# 2
Computed, not measured: crystalline Ce2ErScS5 at its relaxed geometry at the PBE level of DFT.

Its raw formation energy is -1471 meV per atom. For the mass density, the calculation gives 4.52 g cm⁻³. The calculation puts the calculated total energy at -6.29 eV/atom.

It has space group P4/mmm (No. 123), with a = 4.911 Å, b = 4.911 Å, c = 9.948 Å, α = 90.00°, β = 90.00° and γ = 90.00°. The asymmetric unit holds Ce at (0.000, 0.000, 0.208), Er at (0.500, 0.500, 0.000), Sc at (0.500, 0.500, 0.500), S at (0.000, 0.000, 0.500), S at (0.000, 0.500, 0.000) and S at (0.500, 0.500, 0.263).

=====

# 3
Computed, not measured: crystalline BaLiGdGa at its relaxed geometry at the PBE level of DFT.

For the mass density, the calculation gives 5.20 g cm⁻³. The value obtained for the energy relative to the elements is -0.4 eV per formula unit. The calculation puts the calculated total energy at -5.34 eV/atom.

It has space group F-43m (No. 216), with a = 7.798 Å, b = 7.798 Å, c = 7.798 Å, α = 90.00°, β = 90.00° and γ = 90.00°. The asymmetric unit holds Ba at (0.000, 0.000, 0.000), Li at (0.250, 0.250, 0.250), Gd at (0.000, 0.000, 0.500) and Ga at (0.250, 0.250, 0.750).

=====

# 4
Computed, not measured: crystalline Na2LiCeF6 at its relaxed geometry at the PBE level of DFT.

Its raw formation energy is -3221 meV per atom. For the mass density, the calculation gives 3.53 g cm⁻³. The calculation puts the calculated total energy at -5.39 eV/atom.

It has space group P2_1/c (No. 14), with a = 5.663 Å, b = 5.755 Å, c = 10.033 Å, α = 90.00°, β = 117.83° and γ = 90.00°. The asymmetric unit holds Na at (0.191, 0.055, 0.238), Li at (0.000, 0.000, 0.500), Ce at (0.500, 0.000, 0.000), F at (0.118, 0.220, 0.931), F at (0.189, 0.702, 0.912) and F at (0.424, 0.095, 0.761).

=====

# 5
Computed, not measured: crystalline HfGaSb2 at its relaxed geometry at the PBE level of DFT.

Its raw formation energy is 106 meV per atom. For the mass density, the calculation gives 6.11 g cm⁻³. The calculation puts the calculated total energy at -5.20 eV/atom.

It has space group I-42d (No. 122), with a = 6.499 Å, b = 6.499 Å, c = 12.657 Å, α = 90.00°, β = 90.00° and γ = 90.00°. The asymmetric unit holds Hf at (0.000, 0.000, 0.000), Ga at (0.000, 0.000, 0.500) and Sb at (0.243, 0.250, 0.625).

=====

# 6
Computed, not measured: crystalline Ti3VMo at its relaxed geometry at the PBE level of DFT.

The calculation puts the energy relative to the lowest polymorph listed for this composition at 0.0 kJ/mol of atoms. For the mass density, the calculation gives 6.03 g cm⁻³. The value obtained for the energy relative to the elements is -0.2 eV per formula unit. The calculation puts the calculated total energy at -8.77 eV/atom.

It has space group P2_1/m (No. 11), with a = 5.242 Å, b = 4.493 Å, c = 6.952 Å, α = 90.00°, β = 102.16° and γ = 90.00°. The asymmetric unit holds Ti at (0.172, 0.250, 0.031), Ti at (0.255, 0.750, 0.754), Ti at (0.328, 0.250, 0.451), V at (0.414, 0.750, 0.170) and Mo at (0.055, 0.750, 0.343).

=====

# 7
Computed, not measured: crystalline CeNdHf at its relaxed geometry at the PBE level of DFT.

The calculation puts the energy relative to the lowest polymorph listed for this composition at 0.0 kJ/mol of atoms. For the mass density, the calculation gives 9.12 g cm⁻³. The value obtained for the energy relative to the elements is 0.5 eV per formula unit. The calculation puts the calculated total energy at -6.71 eV/atom.

It has space group I4mm (No. 107), with a = 3.320 Å, b = 3.320 Å, c = 15.297 Å, α = 90.00°, β = 90.00° and γ = 90.00°. The asymmetric unit holds Ce at (0.000, 0.000, 0.000), Nd at (0.000, 0.000, 0.314) and Hf at (0.000, 0.000, 0.652).

=====

# 8
Computed, not measured: crystalline Ba2NaIn3Au4 at its relaxed geometry at the PBE level of DFT.

For the mass density, the calculation gives 8.58 g cm⁻³. The value obtained for the energy relative to the elements is -5.2 eV per formula unit. The calculation puts the calculated total energy at -3.17 eV/atom.

It has space group P-4m2 (No. 115), with a = 4.920 Å, b = 4.920 Å, c = 11.441 Å, α = 90.00°, β = 90.00° and γ = 90.00°. The asymmetric unit holds Ba at (0.000, 0.500, 0.237), Na at (0.000, 0.000, 0.500), In at (0.000, 0.500, 0.881), In at (0.500, 0.500, 0.500), Au at (0.000, 0.000, 0.000), Au at (0.000, 0.500, 0.637) and Au at (0.500, 0.500, 0.000).

=====

# 9
Computed, not measured: crystalline ReSe2NF at its relaxed geometry at the PBE level of DFT.

The calculation puts the energy relative to the lowest polymorph listed for this composition at 0.0 kJ/mol of atoms. Its raw formation energy is 223 meV per atom. For the mass density, the calculation gives 6.91 g cm⁻³. The calculation puts the calculated total energy at -5.70 eV/atom.

It has space group P4/mmm (No. 123), with a = 4.911 Å, b = 4.911 Å, c = 3.755 Å, α = 90.00°, β = 90.00° and γ = 90.00°. The asymmetric unit holds Re at (0.000, 0.000, 0.000), Se at (0.000, 0.500, 0.000), N at (0.000, 0.000, 0.500) and F at (0.500, 0.500, 0.500).

=====

# 10
Computed, not measured: crystalline MgMnBr2 at its relaxed geometry at the PBE level of DFT.

The calculation puts the energy relative to the lowest polymorph listed for this composition at 16.1 kJ/mol of atoms. Its raw formation energy is -373 meV per atom. For the mass density, the calculation gives 3.81 g cm⁻³. The calculation puts the calculated total energy at -3.90 eV/atom.

It has space group P4mm (No. 99), with a = 3.396 Å, b = 3.396 Å, c = 9.022 Å, α = 90.00°, β = 90.00° and γ = 90.00°. The asymmetric unit holds Mg at (0.000, 0.000, 0.000), Mn at (0.500, 0.500, 0.243), Br at (0.000, 0.000, 0.404) and Br at (0.500, 0.500, 0.831).

=====

# 11
Computed, not measured: crystalline Dy2Ho3Tm7 at its relaxed geometry at the PBE level of DFT.

The calculation puts the energy relative to the lowest polymorph listed for this composition at 2.9 kJ/mol of atoms. For the mass density, the calculation gives 9.02 g cm⁻³. The value obtained for the energy relative to the elements is 1.4 eV per formula unit. The calculation puts the calculated total energy at -4.40 eV/atom.

It has space group Cmmm (No. 65), with a = 5.592 Å, b = 37.134 Å, c = 3.549 Å, α = 90.00°, β = 90.00° and γ = 90.00°. The asymmetric unit holds Dy at (0.000, 0.147, 0.000), Ho at (0.000, 0.315, 0.500), Ho at (0.000, 0.500, 0.500), Tm at (0.000, 0.000, 0.000), Tm at (0.000, 0.071, 0.500), Tm at (0.000, 0.231, 0.000) and Tm at (0.000, 0.409, 0.000).

=====

# 12
Computed, not measured: crystalline PaOs6 at its relaxed geometry at the PBE level of DFT.

For the mass density, the calculation gives 14.59 g cm⁻³. The value obtained for the energy relative to the elements is 6.9 eV per formula unit. The calculation puts the calculated total energy at -10.00 eV/atom.

It has space group Im-3m (No. 229), with a = 6.785 Å, b = 6.785 Å, c = 6.785 Å, α = 90.00°, β = 90.00° and γ = 90.00°. The asymmetric unit holds Pa at (0.000, 0.000, 0.000) and Os at (0.000, 0.250, 0.500).

=====

M_tot (μB per formula unit)
0.000 3.210 7.548 1.001 0.000 0.000 0.456 0.000 0.011 4.370 0.000 1.257